{
  "formula": "Tb3PrNd6",
  "functional": "PBE",
  "state": "optimized geometry",
  "formation_energy_ev_per_atom": 0.14,
  "polymorph_energy_kj_per_mol_fu": 16,
  "n_ef_per_ev_cell": 28.3,
  "lattice_angstrom": [[6.414, 0.000, 0.000], [0.000, 11.029, -1.709], [0.000, -4.127, 10.370]],
  "species": ["Tb", "Tb", "Tb", "Tb", "Tb", "Tb", "Pr", "Pr", "Nd", "Nd", "Nd", "Nd", "Nd", "Nd", "Nd", "Nd", "Nd", "Nd", "Nd", "Nd"],
  "frac_coords": [[0.462, 0.942, 0.709], [0.962, 0.709, 0.942], [0.090, 0.383, 0.617], [0.590, 0.617, 0.383], [0.962, 0.058, 0.291], [0.462, 0.291, 0.058], [0.106, 0.192, 0.808], [0.606, 0.808, 0.192], [0.051, 0.709, 0.629], [0.551, 0.629, 0.709], [0.374, 0.527, 0.943], [0.874, 0.943, 0.527], [0.366, 0.965, 0.035], [0.648, 0.281, 0.719], [0.148, 0.719, 0.281], [0.866, 0.035, 0.965], [0.374, 0.057, 0.473], [0.874, 0.473, 0.057], [0.051, 0.371, 0.291], [0.551, 0.291, 0.371]]
}